Entry from Alexandria: an optimized crystal structure of CoHgO2F (PBE with a Hubbard U).

a = 4.190 Å, b = 4.190 Å, c = 4.427 Å
α = 90.00°, β = 90.00°, γ = 90.00°
Positions (direct):
Co 0.000 0.000 0.000
Hg 0.500 0.500 0.500
O 0.000 0.500 0.500
O 0.500 0.000 0.500
F 0.500 0.500 0.000

* energy: -3.25 eV per atom